Density functional theory data (PBE-GGA) for La2MgSc after structural relaxation.

Cell lengths 3.6927, 3.6927, 8.8848 Å; angles 90.00, 90.00, 90.00 degrees
Element x y z (fractional)
Sc: 0.5000 0.5000 0.7181
Mg: 0.0000 0.0000 0.5304
La: 0.5000 0.5000 0.2755
La: 0.0000 0.0000 0.9761

Results
Space-group type: P4mm, No. 99
Energy (eV/cell): -17.79
ΔH_f (0 K) (eV per atom): -0.003

---

Density functional theory data (PBE-GGA) for PmIO6 after structural relaxation.

Cell lengths 5.1447, 4.9400, 8.3620 Å; angles 90.00, 90.00, 88.43 degrees
Element x y z (fractional)
I: 0.5000 0.5000 0.3030
I: 0.5000 0.5000 0.6970
O: 0.6859 0.2464 0.8196
O: 0.7799 0.7314 0.3133
O: 0.1897 0.4233 0.0000
O: 0.8103 0.5767 0.0000
O: 0.3141 0.7536 0.8196
O: 0.2201 0.2686 0.3133
O: 0.3531 0.6958 0.5000
O: 0.7799 0.7314 0.6867
O: 0.6859 0.2464 0.1804
O: 0.2201 0.2686 0.6867
O: 0.6469 0.3042 0.5000
O: 0.3141 0.7536 0.1804
Pm: 0.0000 0.0000 0.0000
Pm: 0.0000 0.0000 0.5000

Results
Space-group type: P2/m, No. 10
Energy (eV/cell): -85.27

---

Density functional theory data (PBE-GGA) for TbFe4C4 after structural relaxation.

Cell lengths 3.5915, 6.9899, 6.9899 Å; angles 90.00, 90.00, 90.00 degrees
Element x y z (fractional)
C: 0.3770 0.7155 0.8312
C: 0.8770 0.3312 0.7845
C: 0.6230 0.1688 0.7155
C: 0.1230 0.2155 0.3312
C: 0.8770 0.6688 0.2155
C: 0.6230 0.8312 0.2845
C: 0.3770 0.2845 0.1688
C: 0.1230 0.7845 0.6688
Fe: 0.6286 0.9002 0.6570
Fe: 0.3714 0.3430 0.9002
Fe: 0.1286 0.1570 0.5998
Fe: 0.3714 0.6570 0.0998
Fe: 0.1286 0.8430 0.4002
Fe: 0.8714 0.4002 0.1570
Fe: 0.8714 0.5998 0.8430
Fe: 0.6286 0.0998 0.3430
Tb: 0.0000 0.0000 0.0000
Tb: 0.5000 0.5000 0.5000

Results
Space-group type: P4_2/n, No. 86
Energy (eV/cell): -150.14
ΔH_f (0 K) (eV per atom): 0.034

---

Density functional theory data (PBE-GGA) for TbGa4PdRu2 after structural relaxation.

Cell lengths 4.2746, 4.2746, 8.8440 Å; angles 76.02, 76.02, 60.00 degrees
Element x y z (fractional)
Pd: 0.5000 0.5000 0.5000
Ga: 0.8715 0.8715 0.3856
Ga: 0.3976 0.3976 0.8073
Ga: 0.1285 0.1285 0.6144
Ga: 0.6024 0.6024 0.1927
Tb: 0.0000 0.0000 0.0000
Ru: 0.2340 0.2340 0.2980
Ru: 0.7660 0.7660 0.7020

Results
Space-group type: R-3m, No. 166
Energy (eV/cell): -44.31
ΔH_f (0 K) (eV per atom): -0.478

---

Density functional theory data (PBE-GGA) for HfSbMo after structural relaxation.

Cell lengths 4.3801, 4.3801, 7.3401 Å; angles 107.36, 107.36, 90.00 degrees
Element x y z (fractional)
Mo: 0.0000 0.5000 0.0000
Mo: 0.5000 0.0000 0.0000
Hf: 0.1321 0.1321 0.2641
Hf: 0.8679 0.8679 0.7359
Sb: 0.3616 0.3616 0.7231
Sb: 0.6384 0.6384 0.2769

Results
Space-group type: I4/mmm, No. 139
Energy (eV/cell): -51.69

---

Density functional theory data (PBE-GGA) for Ni2Pt after structural relaxation.

Cell lengths 5.6137, 5.6137, 5.6137 Å; angles 152.36, 152.36, 39.48 degrees
Element x y z (fractional)
Pt: 0.3333 0.3333 0.0000
Ni: 0.0078 0.0078 0.0000
Ni: 0.6589 0.6589 0.0000

Results
Space-group type: I4/mmm, No. 139
Energy (eV/cell): -17.73
ΔH_f (0 K) (eV per atom): -0.044